{
  "formula": "Li4Cr5FeO12",
  "functional": "PBE with a Hubbard U",
  "state": "relaxed",
  "crystal_system": "monoclinic",
  "dft_energy_ry_per_atom": -0.5031,
  "vol_a3_per_cell": 240.6,
  "total_magnetization_mub_per_fu": 18.00,
  "lattice_angstrom": [[2.577, -4.489, 0.000], [2.577, 4.489, 0.000], [-1.792, 0.000, 10.399]],
  "species": ["Li", "Li", "Li", "Li", "Cr", "Cr", "Cr", "Cr", "Cr", "Fe", "O", "O", "O", "O", "O", "O", "O", "O", "O", "O", "O", "O"],
  "fractional_positions": [[0.071, 0.407, 0.219], [0.407, 0.071, 0.219], [0.593, 0.929, 0.781], [0.929, 0.593, 0.781], [0.168, 0.832, 0.500], [0.335, 0.665, 0.000], [0.500, 0.500, 0.500], [0.665, 0.335, 0.000], [0.832, 0.168, 0.500], [0.000, 0.000, 0.000], [0.048, 0.701, 0.104], [0.136, 0.469, 0.401], [0.205, 0.205, 0.588], [0.299, 0.952, 0.896], [0.356, 0.356, 0.102], [0.469, 0.136, 0.401], [0.531, 0.864, 0.599], [0.644, 0.644, 0.898], [0.701, 0.048, 0.104], [0.795, 0.795, 0.412], [0.864, 0.531, 0.599], [0.952, 0.299, 0.896]]
}